Here is crystalline Pr6Dy12Al at its relaxed geometry from the Alexandria database. Energies are from PBE-GGA.

Computed properties:
calculated formation energy	88	meV/atom
space group	R-3, No. 148
density of states at the Fermi level	24.8	states/eV/f.u.

Cell: 8.5132 8.5132 8.5132 Å, 89.24 89.24 89.24°
Atoms (fractional coordinates):
1 Dy 0.8170 0.6434 0.9835
2 Dy 0.4380 0.7792 0.5364
3 Dy 0.6434 0.9835 0.8170
4 Dy 0.3566 0.0165 0.1830
5 Dy 0.5364 0.4380 0.7792
6 Dy 0.9835 0.8170 0.6434
7 Pr 0.2599 0.0914 0.7000
8 Pr 0.0914 0.7000 0.2599
9 Dy 0.4636 0.5620 0.2208
10 Pr 0.7000 0.2599 0.0914
11 Al 0.0000 0.0000 0.0000
12 Dy 0.1830 0.3566 0.0165
13 Pr 0.7401 0.9086 0.3000
14 Dy 0.2208 0.4636 0.5620
15 Pr 0.3000 0.7401 0.9086
16 Dy 0.7792 0.5364 0.4380
17 Pr 0.9086 0.3000 0.7401
18 Dy 0.5620 0.2208 0.4636
19 Dy 0.0165 0.1830 0.3566


Here is crystalline PrDy7Al4 at its relaxed geometry from the Alexandria database. Energies are from PBE-GGA.

Computed properties:
calculated formation energy	-57	meV/atom
space group	C2/m, No. 12
density of states at the Fermi level	12.6	states/eV/f.u.

Cell: 5.5257 9.1003 7.4730 Å, 77.47 68.30 72.33°
Atoms (fractional coordinates):
1 Al 0.5540 0.2377 0.6544
2 Dy 0.5000 0.0000 0.0000
3 Al 0.3227 0.3316 0.0230
4 Dy 0.7012 0.3571 0.2406
5 Dy 0.9341 0.3905 0.7413
6 Pr 0.0000 0.0000 0.0000
7 Al 0.4460 0.7623 0.3456
8 Dy 0.7885 0.8765 0.5465
9 Dy 0.2988 0.6429 0.7594
10 Dy 0.2115 0.1235 0.4535
11 Al 0.6773 0.6684 0.9770
12 Dy 0.0659 0.6095 0.2587


Q: Among the records above, which one has the highest calculated formation energy?
A: Pr6Dy12Al


Q: Among the records above, which one has the highest calculated formation energy?
A: Pr6Dy12Al